The following is a PBE calculation of a relaxed structure of PuSc3Ni8, from the Alexandria database.

SG = P3m1
theoretical density = 8298 kg/m³
ΔH_f (0 K) = -0.4246 eV per atom

The structure in POSCAR format:
```
PuSc3Ni8
1.0
-2.784 4.059 -0.406
0.974 -2.736 -3.994
-6.594 -4.383 1.394
Ni Pu Sc
8 1 3
Direct
0.668 0.834 0.246
0.501 0.002 0.754
0.333 0.667 0.500
0.501 0.499 0.754
0.998 0.499 0.754
0.166 0.332 0.246
0.166 0.834 0.246
0.333 0.667 0.999
0.000 0.000 0.563
0.667 0.333 0.064
0.000 0.000 0.941
0.667 0.333 0.435
```

***

The following is a PBE calculation of a relaxed structure of PuSc2Ni9, from the Alexandria database.

SG = R-3m
theoretical density = 8752 kg/m³
ΔH_f (0 K) = -0.3787 eV per atom

The structure in POSCAR format:
```
PuSc2Ni9
1.0
4.880 0.000 0.000
2.440 4.226 0.000
2.440 1.409 7.931
Ni Sc Pu
9 2 1
Direct
0.414 0.414 0.254
0.333 0.333 0.000
0.500 0.500 0.500
0.586 0.586 0.746
0.918 0.414 0.254
0.082 0.586 0.746
0.667 0.667 0.000
0.586 0.082 0.746
0.414 0.918 0.254
0.859 0.859 0.423
0.141 0.141 0.577
0.000 0.000 0.000
```

***

The following is a PBE calculation of a relaxed structure of PuScNi10, from the Alexandria database.

SG = Pmmm
theoretical density = 9139 kg/m³
ΔH_f (0 K) = -0.2335 eV per atom

The structure in POSCAR format:
```
PuScNi10
1.0
-3.885 0.679 0.381
0.191 -1.471 4.573
1.608 7.824 2.450
Ni Sc Pu
10 1 1
Direct
0.000 0.500 0.827
0.500 0.251 0.254
0.000 0.500 0.173
0.500 0.500 0.000
0.500 0.000 0.500
0.500 0.251 0.746
0.500 0.749 0.254
0.500 0.749 0.746
0.000 0.000 0.662
0.000 0.000 0.338
0.000 0.500 0.500
0.000 0.000 0.000
```

***

The following is a PBE calculation of a relaxed structure of PuScTcNi, from the Alexandria database.

SG = F-43m
theoretical density = 10535 kg/m³
ΔH_f (0 K) = -0.1626 eV per atom

The structure in POSCAR format:
```
PuScTcNi
1.0
4.631 0.000 0.000
2.316 4.011 0.000
2.316 1.337 3.781
Pu Ni Tc Sc
1 1 1 1
Direct
0.750 0.750 0.750
0.000 0.000 0.000
0.500 0.500 0.500
0.250 0.250 0.250
```